[1]
# PBE Rb2FeRuBr6, relaxed
# Formation energy (no corrections) = -0.7353 eV/atom
# E_tot = -3.706 eV/atom
data_Rb2FeRuBr6
_cell_length_a 7.403
_cell_length_b 7.403
_cell_length_c 10.446
_cell_angle_alpha 90.00
_cell_angle_beta 90.00
_cell_angle_gamma 90.00
_space_group_name_H-M_alt 'I 4/m m m'
_space_group_IT_number 139
_space_group_name_Hall '-I 4 2'
loop_
_atom_site_label
_atom_site_fract_x
_atom_site_fract_y
_atom_site_fract_z
Rb1 0.000 0.500 0.250
Fe1 0.000 0.000 0.000
Ru1 0.000 0.000 0.500
Br1 0.000 0.000 0.252
Br2 0.248 0.248 0.500

[2]
# PBE MnGaNi14, relaxed
# E_tot = -5.880 eV/atom
# DFT formation energy = -0.06 eV/atom
data_MnGaNi14
_cell_length_a 8.185
_cell_length_b 5.047
_cell_length_c 8.656
_cell_angle_alpha 90.00
_cell_angle_beta 90.00
_cell_angle_gamma 90.00
_space_group_name_H-M_alt 'A m m 2'
_space_group_IT_number 38
_space_group_name_Hall 'A 2 -2'
loop_
_atom_site_label
_atom_site_fract_x
_atom_site_fract_y
_atom_site_fract_z
Mn1 0.000 0.000 0.000
Ga1 0.000 0.000 0.502
Ni1 0.000 0.249 0.751
Ni2 0.252 0.000 0.331
Ni3 0.252 0.000 0.832
Ni4 0.252 0.249 0.083
Ni5 0.500 0.000 0.165
Ni6 0.500 0.000 0.664
Ni7 0.500 0.250 0.415

[3]
# PBE MnBeRe2, relaxed
# E_tot = -9.407 eV/atom
# DFT formation energy = 0.04 eV/atom
data_MnBeRe2
_cell_length_a 3.042
_cell_length_b 4.216
_cell_length_c 7.958
_cell_angle_alpha 90.00
_cell_angle_beta 90.00
_cell_angle_gamma 90.00
_space_group_name_H-M_alt 'I m m m'
_space_group_IT_number 71
_space_group_name_Hall '-I 2 2'
loop_
_atom_site_label
_atom_site_fract_x
_atom_site_fract_y
_atom_site_fract_z
Mn1 0.000 0.000 0.000
Be1 0.000 0.000 0.500
Re1 0.000 0.500 0.244

[4]
# PBE NdY2SbN4, relaxed
# Formation energy (no corrections) = -0.7957 eV/atom
# E_tot = -7.686 eV/atom
data_NdY2SbN4
_cell_length_a 3.346
_cell_length_b 13.509
_cell_length_c 11.615
_cell_angle_alpha 90.00
_cell_angle_beta 90.00
_cell_angle_gamma 90.00
_space_group_name_H-M_alt 'C m c m'
_space_group_IT_number 63
_space_group_name_Hall '-C 2c 2'
loop_
_atom_site_label
_atom_site_fract_x
_atom_site_fract_y
_atom_site_fract_z
Nd1 0.000 0.237 0.250
Y1 0.000 0.369 0.502
Sb1 0.000 0.013 0.750
N1 0.000 0.000 0.000
N2 0.000 0.213 0.607
N3 0.000 0.412 0.750

[5]
# PBE Rb2HgCl6, relaxed
# Formation energy (no corrections) = -0.9724 eV/atom
# E_tot = -2.452 eV/atom
data_Rb2HgCl6
_cell_length_a 7.542
_cell_length_b 7.781
_cell_length_c 11.592
_cell_angle_alpha 90.00
_cell_angle_beta 120.84
_cell_angle_gamma 90.00
_space_group_name_H-M_alt 'P 1 21/c 1'
_space_group_IT_number 14
_space_group_name_Hall '-P 2ybc'
loop_
_atom_site_label
_atom_site_fract_x
_atom_site_fract_y
_atom_site_fract_z
Rb1 0.232 0.024 0.250
Hg1 0.500 0.000 0.000
Cl1 0.211 0.186 0.956
Cl2 0.264 0.712 0.015
Cl3 0.327 0.581 0.254

[6]
# PBE Cd2HIO, relaxed
# E_tot = -2.170 eV/atom
data_Cd2HIO
_cell_length_a 6.130
_cell_length_b 6.130
_cell_length_c 2.854
_cell_angle_alpha 90.00
_cell_angle_beta 90.00
_cell_angle_gamma 90.00
_space_group_name_H-M_alt 'P 4/m m m'
_space_group_IT_number 123
_space_group_name_Hall '-P 4 2'
loop_
_atom_site_label
_atom_site_fract_x
_atom_site_fract_y
_atom_site_fract_z
Cd1 0.000 0.500 0.000
H1 0.000 0.000 0.000
I1 0.500 0.500 0.500
O1 0.000 0.000 0.500

[7]
# PBE CrTcAg2, relaxed
# E_tot = -5.889 eV/atom
# DFT formation energy = 0.53 eV/atom
data_CrTcAg2
_cell_length_a 9.198
_cell_length_b 2.769
_cell_length_c 5.135
_cell_angle_alpha 90.00
_cell_angle_beta 99.71
_cell_angle_gamma 90.00
_space_group_name_H-M_alt 'C 1 m 1'
_space_group_IT_number 8
_space_group_name_Hall 'C -2y'
loop_
_atom_site_label
_atom_site_fract_x
_atom_site_fract_y
_atom_site_fract_z
Cr1 0.000 0.000 0.000
Tc1 0.264 0.000 0.815
Ag1 0.008 0.500 0.525
Ag2 0.252 0.500 0.295

[8]
# PBE Gd2RhPb, relaxed
# E_tot = -10.306 eV/atom
# DFT formation energy = -0.50 eV/atom
data_Gd2RhPb
_cell_length_a 7.355
_cell_length_b 7.355
_cell_length_c 7.355
_cell_angle_alpha 90.00
_cell_angle_beta 90.00
_cell_angle_gamma 90.00
_space_group_name_H-M_alt 'F m -3 m'
_space_group_IT_number 225
_space_group_name_Hall '-F 4 2 3'
loop_
_atom_site_label
_atom_site_fract_x
_atom_site_fract_y
_atom_site_fract_z
Gd1 0.250 0.250 0.250
Rh1 0.000 0.000 0.000
Pb1 0.000 0.000 0.500

[9]
# PBE GeAs2Br, relaxed
# Formation energy (no corrections) = 0.3375 eV/atom
# E_tot = -3.560 eV/atom
data_GeAs2Br
_cell_length_a 6.843
_cell_length_b 6.843
_cell_length_c 9.764
_cell_angle_alpha 90.00
_cell_angle_beta 90.00
_cell_angle_gamma 90.00
_space_group_name_H-M_alt 'I -4 2 d'
_space_group_IT_number 122
_space_group_name_Hall 'I -4 2bw'
loop_
_atom_site_label
_atom_site_fract_x
_atom_site_fract_y
_atom_site_fract_z
Ge1 0.000 0.000 0.000
As1 0.201 0.250 0.125
Br1 0.000 0.000 0.500

[10]
# PBE BeTcPHCl, relaxed
# E_tot = -5.167 eV/atom
data_BeTcPHCl
_cell_length_a 3.7542
_cell_length_b 3.7542
_cell_length_c 6.5543
_cell_angle_alpha 90.00
_cell_angle_beta 90.00
_cell_angle_gamma 120.00
_space_group_name_H-M_alt 'P 3 m 1'
_space_group_IT_number 156
_space_group_name_Hall 'P 3 -2"'
loop_
_atom_site_label
_atom_site_fract_x
_atom_site_fract_y
_atom_site_fract_z
Be1 0.0000 0.0000 0.0000
Tc1 0.3333 0.6667 0.1050
P1 0.6667 0.3333 0.9384
H1 0.6667 0.3333 0.7206
Cl1 0.0000 0.0000 0.3581

[11]
# PBE AlMoP, relaxed
# E_tot = -7.169 eV/atom
# DFT formation energy = -0.51 eV/atom
data_AlMoP
_cell_length_a 3.193
_cell_length_b 3.193
_cell_length_c 8.282
_cell_angle_alpha 90.00
_cell_angle_beta 90.00
_cell_angle_gamma 90.00
_space_group_name_H-M_alt 'I 4 m m'
_space_group_IT_number 107
_space_group_name_Hall 'I 4 -2'
loop_
_atom_site_label
_atom_site_fract_x
_atom_site_fract_y
_atom_site_fract_z
Al1 0.000 0.000 0.000
Mo1 0.000 0.000 0.316
P1 0.000 0.000 0.678

[12]
# PBE Ta2IrPt, relaxed
# E_tot = -10.150 eV/atom
# DFT formation energy = -0.50 eV/atom
data_Ta2IrPt
_cell_length_a 3.963
_cell_length_b 3.963
_cell_length_c 8.365
_cell_angle_alpha 90.00
_cell_angle_beta 90.00
_cell_angle_gamma 90.00
_space_group_name_H-M_alt 'I -4 m 2'
_space_group_IT_number 119
_space_group_name_Hall 'I -4 -2'
loop_
_atom_site_label
_atom_site_fract_x
_atom_site_fract_y
_atom_site_fract_z
Ta1 0.000 0.000 0.000
Ta2 0.000 0.500 0.250
Ir1 0.000 0.000 0.500
Pt1 0.000 0.500 0.750